PmSb2Rh3: optimized geometry, PBE-GGA.

Unit cell a=8.916 b=8.916 c=10.287 alpha=106.65 beta=106.65 gamma=27.30
Sites, in units of the cell vectors:
Pm 0.000 0.000 0.000
Pm 0.161 0.161 0.704
Pm 0.839 0.839 0.296
Sb 0.192 0.192 0.126
Sb 0.360 0.360 0.543
Sb 0.460 0.460 0.220
Sb 0.540 0.540 0.780
Sb 0.640 0.640 0.457
Sb 0.808 0.808 0.874
Rh 0.043 0.043 0.332
Rh 0.215 0.215 0.391
Rh 0.319 0.319 0.040
Rh 0.383 0.383 0.802
Rh 0.500 0.500 0.500
Rh 0.617 0.617 0.198
Rh 0.681 0.681 0.960
Rh 0.785 0.785 0.609
Rh 0.957 0.957 0.668

## Properties
SG: C2/m, No. 12
Energy relative to the lowest polymorph listed for this composition in eV per atom: 0.000
Density of states at the Fermi level in states/eV/atom: 0.4783
Uncorrected formation energy in eV/f.u.: -4.38
Total magnetic moment in μB per formula unit: 0.000
Density in g/cm3: 9.7

***

KAlRu2: optimized geometry, PBE-GGA.

Unit cell a=4.733 b=4.733 c=6.764 alpha=98.05 beta=98.05 gamma=34.93
Sites, in units of the cell vectors:
K 0.000 0.000 0.000
Al 0.500 0.500 0.500
Ru 0.220 0.220 0.642
Ru 0.780 0.780 0.358

## Properties
SG: C2/m, No. 12
ΔH_f (0 K) in eV/atom: 0.479
Density of states at the Fermi level in states/eV/atom: 1.1259
Total magnetic moment in μB per formula unit: 0.698
Density in g/cm3: 5.2

***

BaCrFe4: optimized geometry, PBE-GGA.

Unit cell a=5.194 b=5.194 c=5.194 alpha=60.00 beta=60.00 gamma=60.00
Sites, in units of the cell vectors:
Ba 0.000 0.000 0.000
Cr 0.750 0.750 0.750
Fe 0.379 0.379 0.379
Fe 0.379 0.379 0.862
Fe 0.379 0.862 0.379
Fe 0.862 0.379 0.379

## Properties
SG: F-43m, No. 216
ΔH_f (0 K) in eV/atom: 0.753
Density of states at the Fermi level in states/eV/atom: 1.4587
Total magnetic moment in μB per formula unit: 13.920
Density in g/cm3: 6.9

***

K3Tl4InBr8: optimized geometry, PBE-GGA.

Unit cell a=9.502 b=9.502 c=9.502 alpha=59.97 beta=59.97 gamma=59.97
Sites, in units of the cell vectors:
K 0.000 0.500 0.500
K 0.500 0.000 0.500
K 0.500 0.500 0.000
Tl 0.000 0.000 0.500
Tl 0.000 0.500 0.000
Tl 0.500 0.000 0.000
Tl 0.500 0.500 0.500
In 0.000 0.000 0.000
Br 0.249 0.249 0.747
Br 0.249 0.747 0.249
Br 0.252 0.252 0.252
Br 0.253 0.751 0.751
Br 0.747 0.249 0.249
Br 0.748 0.748 0.748
Br 0.751 0.253 0.751
Br 0.751 0.751 0.253

## Properties
SG: R-3m, No. 166
Density of states at the Fermi level in states/eV/atom: 0.0000
Uncorrected formation energy in eV/f.u.: -18.71
Total magnetic moment in μB per formula unit: 0.000
Density in g/cm3: 4.6

***

Ag2TePbO: optimized geometry, PBE-GGA.

Unit cell a=5.082 b=5.082 c=6.424 alpha=90.00 beta=90.00 gamma=90.00
Sites, in units of the cell vectors:
Ag 0.000 0.500 0.000
Ag 0.500 0.000 0.000
Te 0.000 0.000 0.000
Pb 0.000 0.000 0.500
O 0.500 0.500 0.500

## Properties
SG: P4/mmm, No. 123
Density of states at the Fermi level in states/eV/atom: 0.0010
Uncorrected formation energy in eV/f.u.: 3.22
Total magnetic moment in μB per formula unit: 0.000
Density in g/cm3: 5.7

***

SmScGa2Pt5: optimized geometry, PBE-GGA.

Unit cell a=4.153 b=4.153 c=9.387 alpha=90.00 beta=90.00 gamma=90.00
Sites, in units of the cell vectors:
Sm 0.000 0.000 0.000
Sc 0.000 0.000 0.500
Ga 0.500 0.500 0.373
Ga 0.500 0.500 0.627
Pt 0.000 0.500 0.230
Pt 0.000 0.500 0.770
Pt 0.500 0.000 0.230
Pt 0.500 0.000 0.770
Pt 0.500 0.500 0.000

## Properties
SG: P4/mmm, No. 123
ΔH_f (0 K) in eV/atom: -0.832
Density of states at the Fermi level in states/eV/atom: 0.5379
Total magnetic moment in μB per formula unit: 0.000
Density in g/cm3: 13.4